No. 1
Ca2BeCdHg PBE relaxed; DFT formation energy = -0.03 eV/atom; N(E_F) = 0.29 states/eV/atom; density = 4.9 Mg/m³
1.0
5.5472 0.0000 0.0000
0.0000 4.4530 0.0000
0.0000 0.0000 5.5472
Ca Be Cd Hg
2 1 1 1
Direct
0.5000 0.0000 0.0000
0.0000 0.0000 0.5000
0.0000 0.0000 0.0000
0.5000 0.5000 0.5000
0.0000 0.5000 0.0000


No. 2
CaBeCdIr2 PBE relaxed; DFT formation energy = 0.11 eV/atom; N(E_F) = 0.43 states/eV/atom; density = 10.5 Mg/m³
1.0
-2.4230 2.6489 2.3657
-3.7229 -1.0269 -2.6632
-0.9860 -3.2529 2.6326
Ca Ir Be Cd
1 2 1 1
Direct
0.0000 0.5000 0.0000
0.5000 0.0000 0.0000
0.0000 0.0000 0.5000
0.0000 0.0000 0.0000
0.5000 0.5000 0.5000


No. 3
CaBeCdN2 PBE relaxed; formation energy from raw total energies = 893 kJ/mol of formula units; N(E_F) = 0.41 states/eV/atom; density = 3.0 Mg/m³
1.0
-1.1779 3.7316 1.7385
-5.2796 -1.9776 0.6678
1.0445 -1.4782 3.8806
N Cd Be Ca
2 1 1 1
Direct
0.5000 0.0000 0.0000
0.0000 0.0000 0.5000
0.0000 0.0000 0.0000
0.5000 0.5000 0.5000
0.0000 0.5000 0.0000


No. 4
CaBe2CdNi PBE relaxed; DFT formation energy = 0.14 eV/atom; N(E_F) = 0.28 states/eV/atom; density = 4.3 Mg/m³
1.0
4.2923 0.0000 0.0000
0.0000 4.8254 0.0000
0.0000 0.0000 4.2923
Be Ni Ca Cd
2 1 1 1
Direct
0.5000 0.0000 0.0000
0.0000 0.0000 0.5000
0.0000 0.0000 0.0000
0.5000 0.5000 0.5000
0.0000 0.5000 0.0000


No. 5
CaBeCdPt2 PBE relaxed; DFT formation energy = -0.44 eV/atom; N(E_F) = 0.67 states/eV/atom; density = 10.1 Mg/m³
1.0
-4.3474 0.0504 -0.8998
-0.5179 -3.7675 2.2913
-0.7633 2.4304 3.8237
Pt Be Ca Cd
2 1 1 1
Direct
0.5000 0.0000 0.0000
0.0000 0.5000 0.0000
0.0000 0.0000 0.0000
0.5000 0.5000 0.5000
0.0000 0.0000 0.5000


No. 6
CaBe2CdRe PBE relaxed; DFT formation energy = 0.99 eV/atom; N(E_F) = 0.93 states/eV/atom; density = 5.7 Mg/m³
1.0
4.5045 0.0000 0.0000
0.0000 5.1156 0.0000
0.0000 0.0000 4.5045
Cd Ca Be Re
1 1 2 1
Direct
0.5000 0.5000 0.5000
0.0000 0.5000 0.0000
0.0000 0.0000 0.5000
0.5000 0.0000 0.0000
0.0000 0.0000 0.0000